Compound: KLaC2O6
Source: Alexandria
Functional: PBE
Structure: optimized geometry

POSCAR file:
```
KLaC2O6
1.0
-4.740 2.049 -4.239
-3.386 -5.023 2.818
0.076 5.139 5.136
O K C La
12 2 4 2
Cartesian
-4.658 -1.981 0.554 O
-6.256 -0.485 0.992 O
-2.992 2.475 -0.919 O
-3.392 4.146 3.161 O
-5.843 1.022 -1.827 O
-4.929 2.204 1.510 O
-1.795 2.650 2.722 O
-6.270 2.358 3.288 O
-5.058 -0.310 4.633 O
-1.781 -0.192 0.427 O
-3.121 -0.039 2.205 O
-2.207 1.143 5.542 O
-4.511 5.005 0.509 K
-3.539 -2.840 3.206 K
-6.081 2.584 2.029 C
-1.969 -0.419 1.685 C
-2.256 3.847 2.560 C
-5.795 -1.682 1.154 C
-3.869 1.650 3.857 La
-4.182 0.515 -0.142 La
```

Summary:
* SG: No. 15
* ρ: 3.3 Mg/m³
* E_tot: -7.59 eV per atom